# 1
This record from Alexandria describes CeSi2Ir2 after structural relaxation. The functional is PBEsol.

Output
Total moment ... 0.2 μB per formula unit
Raw formation energy ... -1060 meV per atom

abc: 4.1168 4.1168 9.8413
angles: 90.00 90.00 90.00
Space group P4/nmm (No. 129, origin choice 2)
Asymmetric unit:
Ce 0.2500 0.2500 0.2442 (multiplicity 2)
Si 0.2500 0.2500 0.6302 (multiplicity 2)
Si 0.2500 0.7500 0.0000 (multiplicity 2)
Ir 0.2500 0.2500 0.8720 (multiplicity 2)
Ir 0.2500 0.7500 0.5000 (multiplicity 2)

=====

# 2
This record from Alexandria describes Sr3CaTi4O12 after structural relaxation. The functional is PBEsol.

Output
Total moment ... 0.0 μB per formula unit
Raw formation energy ... -3191 meV per atom

abc: 9.4741 5.5070 9.4708
angles: 90.00 109.28 90.00
Space group C2 (No. 5)
Asymmetric unit:
Sr 0.0000 0.0000 0.0000 (multiplicity 2)
Sr 0.2501 0.0038 0.7499 (multiplicity 4)
Ca 0.0000 0.4918 0.5000 (multiplicity 2)
Ti 0.1251 0.4993 0.8731 (multiplicity 4)
Ti 0.1256 0.9978 0.3764 (multiplicity 4)
O 0.0000 0.4618 0.0000 (multiplicity 2)
O 0.0000 0.9338 0.5000 (multiplicity 2)
O 0.0135 0.2587 0.7329 (multiplicity 4)
O 0.0126 0.7568 0.2385 (multiplicity 4)
O 0.2268 0.2681 0.5112 (multiplicity 4)
O 0.2397 0.7566 0.0108 (multiplicity 4)
O 0.2492 0.0524 0.2507 (multiplicity 4)

=====

# 3
This record from Alexandria describes K2P2H2O7 after structural relaxation. The functional is PBEsol.

Output
Total energy ... -6.394 eV/atom
Total moment ... 0.0 μB per formula unit

abc: 8.1374 8.2012 11.1313
angles: 82.61 84.46 88.81
Space group P-1 (No. 2)
Asymmetric unit:
K 0.1222 0.2021 0.0720 (multiplicity 2)
K 0.2128 0.3701 0.4233 (multiplicity 2)
K 0.2547 0.7945 0.5511 (multiplicity 2)
K 0.3196 0.7195 0.0471 (multiplicity 2)
P 0.0190 0.7849 0.2841 (multiplicity 2)
P 0.1255 0.5055 0.7985 (multiplicity 2)
P 0.2852 0.0457 0.7860 (multiplicity 2)
P 0.4431 0.3630 0.6976 (multiplicity 2)
H 0.2343 0.0053 0.3164 (multiplicity 2)
H 0.4073 0.0510 0.3520 (multiplicity 2)
H 0.4343 0.3849 0.1708 (multiplicity 2)
H 0.4883 0.2006 0.1864 (multiplicity 2)
O 0.0242 0.3314 0.8156 (multiplicity 2)
O 0.0239 0.6409 0.7389 (multiplicity 2)
O 0.0486 0.6869 0.4028 (multiplicity 2)
O 0.1462 0.9024 0.2184 (multiplicity 2)
O 0.1546 0.1162 0.6908 (multiplicity 2)
O 0.1874 0.5147 0.9190 (multiplicity 2)
O 0.2016 0.9856 0.9085 (multiplicity 2)
O 0.2737 0.4727 0.6944 (multiplicity 2)
O 0.2875 0.0567 0.3796 (multiplicity 2)
O 0.3873 0.2090 0.8008 (multiplicity 2)
O 0.3966 0.9302 0.7207 (multiplicity 2)
O 0.4288 0.2823 0.1316 (multiplicity 2)
O 0.4290 0.5478 0.2482 (multiplicity 2)
O 0.4775 0.3109 0.5745 (multiplicity 2)

=====

# 4
This record from Alexandria describes SbMoBr2 after structural relaxation. The functional is PBEsol.

Output
Total moment ... 1.3 μB per formula unit
Energy relative to the lowest polymorph listed for this composition ... 250.0 meV per atom
Raw formation energy ... 312 meV per atom

abc: 3.1041 5.8116 11.1251
angles: 90.00 90.00 90.00
Space group Cmmm (No. 65)
Asymmetric unit:
Sb 0.0000 0.0000 0.0000 (multiplicity 2)
Mo 0.0000 0.0000 0.5000 (multiplicity 2)
Br 0.0000 0.5000 0.3188 (multiplicity 4)

=====

Q: Which formula does entry 1 have?
A: CeSi2Ir2

=====

Q: total moment of number 3 (K2P2H2O7)?
A: 0.0 μB per formula unit

=====

Q: total moment of number 4 (SbMoBr2)?
A: 1.3 μB per formula unit

=====

Q: What is the formula in the third record?
A: K2P2H2O7